Entry a
{
  "formula": "PbC2",
  "functional": "PBE-GGA",
  "state": "optimized geometry",
  "lattice_angstrom": [[-0.9876, -0.4476, -7.0840], [-2.5629, -0.7924, 6.6455], [-1.4054, 4.0452, -0.0597]],
  "species": ["Pb", "Pb", "C", "C", "C", "C"],
  "frac_coords": [[0.3811, 0.6189, 0.0000], [0.6189, 0.3811, 0.0000], [0.0000, 0.0000, 0.0000], [0.5000, 0.5000, 0.5000], [0.0496, 0.9504, 0.5000], [0.9504, 0.0496, 0.5000]],
  "n_ef_per_ev_fu": 0.8
}



Entry b
{
  "formula": "PbC2",
  "functional": "PBE-GGA",
  "state": "optimized geometry",
  "lattice_angstrom": [[-0.2505, 2.3006, -2.9174], [1.7672, -3.2595, -0.3455], [-3.8255, -1.9462, -1.2063]],
  "species": ["Pb", "C", "C"],
  "frac_coords": [[0.3333, 0.6667, 0.5000], [0.0000, 0.0000, 0.8577], [0.0000, 0.0000, 0.1423]],
  "n_ef_per_ev_fu": 0.4
}



Stability check: which of them is most stable? entry b.



Entry a
{
  "formula": "PbC2",
  "functional": "PBE-GGA",
  "state": "optimized geometry",
  "lattice_angstrom": [[2.6564, 0.0000, 0.0000], [0.0000, 8.5882, 0.0000], [0.0000, 0.0000, 14.2693]],
  "species": ["Pb", "Pb", "Pb", "Pb", "C", "C", "C", "C", "C", "C", "C", "C"],
  "frac_coords": [[0.2500, 0.9326, 0.4015], [0.7500, 0.5674, 0.9015], [0.2500, 0.4326, 0.0985], [0.7500, 0.0674, 0.5985], [0.2500, 0.0701, 0.8745], [0.7500, 0.4299, 0.3745], [0.2500, 0.5701, 0.6255], [0.7500, 0.9299, 0.1255], [0.2500, 0.4300, 0.3744], [0.7500, 0.0700, 0.8744], [0.2500, 0.9300, 0.1256], [0.7500, 0.5700, 0.6256]],
  "n_ef_per_ev_fu": 1.8
}



Entry b
{
  "formula": "PbC2",
  "functional": "PBE-GGA",
  "state": "optimized geometry",
  "lattice_angstrom": [[8.2543, 0.0000, 0.0097], [0.0000, 3.7495, 0.0000], [-1.3229, 0.0000, 6.4626]],
  "species": ["Pb", "Pb", "Pb", "Pb", "C", "C", "C", "C", "C", "C", "C", "C"],
  "frac_coords": [[0.4344, 0.0000, 0.8022], [0.4344, 0.5000, 0.3022], [0.0696, 0.0000, 0.4119], [0.0696, 0.5000, 0.9119], [0.6677, 0.8246, 0.1651], [0.6677, 0.1754, 0.1651], [0.6677, 0.3246, 0.6651], [0.6677, 0.6754, 0.6651], [0.9374, 0.0000, 0.7155], [0.9374, 0.5000, 0.2155], [0.7631, 0.0000, 0.6754], [0.7631, 0.5000, 0.1754]],
  "n_ef_per_ev_fu": 0.5
}



Stability check: which of them is most stable? entry b.



Entry a
{
  "formula": "PbC2",
  "functional": "PBE-GGA",
  "state": "optimized geometry",
  "lattice_angstrom": [[-1.6000, 0.1412, 2.2830], [1.6268, -1.8884, 1.2569], [2.9581, 3.7729, 1.8397]],
  "species": ["Pb", "C", "C"],
  "frac_coords": [[0.0000, 0.0000, 0.0000], [0.0000, 0.5000, 0.5000], [0.5000, 0.0000, 0.5000]],
  "n_ef_per_ev_fu": 1.6
}



Entry b
{
  "formula": "PbC2",
  "functional": "PBE-GGA",
  "state": "optimized geometry",
  "lattice_angstrom": [[4.5234, 0.0000, 0.0000], [-2.2617, 3.9174, 0.0000], [0.0000, 0.0000, 12.0836]],
  "species": ["Pb", "Pb", "Pb", "Pb", "C", "C", "C", "C", "C", "C", "C", "C"],
  "frac_coords": [[0.3333, 0.6667, 0.8917], [0.6667, 0.3333, 0.3917], [0.6667, 0.3333, 0.1083], [0.3333, 0.6667, 0.6083], [0.0000, 0.0000, 0.0000], [0.0000, 0.0000, 0.5000], [0.8958, 0.7915, 0.2500], [0.1042, 0.2085, 0.7500], [0.2085, 0.1042, 0.2500], [0.8958, 0.1042, 0.2500], [0.1042, 0.8958, 0.7500], [0.7915, 0.8958, 0.7500]],
  "n_ef_per_ev_fu": 1.6
}



Stability check: which of them is most stable? entry b.